(1)
4
Lattice="2.615 -5.159 0.000 2.615 5.159 0.000 -1.725 0.000 2.497" Properties=species:S:1:pos:R:3 comment="ZrMo2Cl, PBEsol geometry, DFT meta-GGA SCAN" dft_energy_ev_per_atom=-26.82 space_group="No. 12" magnetic_moment_mub_per_atom=0.00 raw_formation_energy_ev_per_atom=0.287 e_above_lowest_polymorph_mev_per_atom=443.8 pbc="T T T"
Zr 0.000 0.000 0.000
Mo 0.445 2.580 1.248
Mo 0.445 -2.580 1.248
Cl 2.615 0.000 0.000


(2)
5
Lattice="4.506 0.000 0.000 0.000 4.506 0.000 0.000 0.000 4.564" Properties=species:S:1:pos:R:3 comment="CdTc2GeMo, PBEsol geometry, DFT meta-GGA SCAN" dft_energy_ev_per_atom=-29.67 space_group="No. 123" magnetic_moment_mub_per_atom=0.00 ef_ev_per_atom=1.236 pbc="T T T"
Cd 0.000 0.000 0.000
Tc 0.000 2.253 2.282
Tc 2.253 0.000 2.282
Ge 2.253 2.253 2.282
Mo 2.253 2.253 0.000


(3)
10
Lattice="7.423 0.000 0.000 0.000 7.423 0.000 0.000 0.000 4.315" Properties=species:S:1:pos:R:3 comment="Nd2InGe2, PBEsol geometry, DFT meta-GGA SCAN" dft_energy_ev_per_atom=-32.59 space_group="No. 127" magnetic_moment_mub_per_atom=0.00 ef_ev_per_atom=-0.847 pbc="T T T"
Nd 1.331 2.380 0.000
Nd 2.380 6.092 0.000
Nd 5.043 1.331 0.000
Nd 6.092 5.043 0.000
In 0.000 0.000 2.157
In 3.712 3.712 2.157
Ge 0.888 4.600 2.157
Ge 2.823 0.888 2.157
Ge 4.600 6.535 2.157
Ge 6.535 2.823 2.157


(4)
3
Lattice="0.000 3.881 3.881 3.881 0.000 3.881 3.881 3.881 0.000" Properties=species:S:1:pos:R:3 comment="KCaTe, PBEsol geometry, DFT meta-GGA SCAN" dft_energy_ev_per_atom=-18.76 space_group="No. 216" magnetic_moment_mub_per_atom=0.00 raw_formation_energy_ev_per_atom=-0.346 pbc="T T T"
K 0.000 0.000 0.000
Ca 1.941 1.941 1.941
Te 5.822 5.822 5.822


(5)
5
Lattice="4.466 0.000 0.000 0.000 4.466 0.000 0.000 0.000 4.922" Properties=species:S:1:pos:R:3 comment="TiPdS2F, PBEsol geometry, DFT meta-GGA SCAN" dft_energy_ev_per_atom=-14.53 space_group="No. 123" magnetic_moment_mub_per_atom=0.00 raw_formation_energy_ev_per_atom=-0.207 pbc="T T T"
Ti 0.000 0.000 0.000
Pd 0.000 0.000 2.461
S 0.000 2.233 0.000
S 2.233 0.000 0.000
F 2.233 2.233 2.461


(6)
4
Lattice="5.150 -1.724 0.000 5.150 1.724 0.000 -0.088 0.000 4.626" Properties=species:S:1:pos:R:3 comment="YZrSe2, PBEsol geometry, DFT meta-GGA SCAN" dft_energy_ev_per_atom=-26.09 space_group="No. 8" magnetic_moment_mub_per_atom=0.00 raw_formation_energy_ev_per_atom=-1.411 e_above_lowest_polymorph_mev_per_atom=112.2 pbc="T T T"
Y 0.000 0.000 0.000
Zr 2.513 0.000 2.364
Se 5.304 0.000 2.317
Se 7.516 0.000 0.046


(7)
72
Lattice="6.957 0.000 0.000 0.000 9.670 0.000 0.000 0.000 10.623" Properties=species:S:1:pos:R:3 comment="CdH7C3NO6, PBEsol geometry, DFT meta-GGA SCAN" dft_energy_ev_per_atom=-8.20 space_group="No. 33" magnetic_moment_mub_per_atom=0.00 pbc="T T T"
Cd 0.677 0.072 0.000
Cd 2.802 4.908 5.311
Cd 4.156 4.763 0.000
Cd 6.280 9.598 5.311
H 0.129 3.850 2.006
H 0.433 2.537 9.031
H 0.914 7.172 1.428
H 1.249 3.257 3.167
H 1.380 5.180 9.195
H 1.548 2.995 1.493
H 1.678 4.531 2.124
H 1.801 9.366 7.435
H 1.931 7.830 6.804
H 2.099 0.345 3.883
H 2.229 8.092 8.478
H 2.564 2.337 6.739
H 3.046 7.372 3.720
H 3.349 8.685 7.317
H 3.608 0.985 2.006
H 3.911 2.298 9.031
H 4.393 7.334 1.428
H 4.728 1.578 3.167
H 4.858 9.325 9.195
H 5.027 1.840 1.493
H 5.157 0.304 2.124
H 5.279 5.140 7.435
H 5.409 6.675 6.804
H 5.578 4.490 3.883
H 5.708 6.413 8.478
H 6.043 2.499 6.739
H 6.525 7.133 3.720
H 6.828 5.821 7.317
C 0.413 6.879 4.404
C 1.417 0.332 3.003
C 1.683 6.921 0.656
C 1.796 2.086 5.968
C 2.062 5.167 8.314
C 3.066 2.044 9.715
C 3.892 7.626 4.404
C 4.896 4.504 3.003
C 5.162 7.584 0.656
C 5.275 2.749 5.968
C 5.540 9.339 8.314
C 6.545 2.791 9.715
N 1.144 3.638 2.205
N 2.335 8.473 7.516
N 4.623 1.197 2.205
N 5.813 6.033 7.516
O 0.182 0.207 3.184
O 0.620 7.665 5.382
O 1.074 5.845 4.119
O 1.184 0.995 6.146
O 1.508 5.285 7.170
O 1.631 2.910 5.019
O 1.848 7.745 10.331
O 1.971 0.450 1.858
O 2.295 5.830 0.834
O 2.405 1.010 9.431
O 2.859 2.829 0.071
O 3.297 5.042 8.495
O 3.661 4.628 3.184
O 4.099 6.841 5.382
O 4.552 8.660 4.119
O 4.663 3.840 6.146
O 4.987 9.220 7.170
O 5.109 1.925 5.019
O 5.327 6.760 10.331
O 5.450 4.385 1.858
O 5.773 8.675 0.834
O 5.884 3.825 9.431
O 6.337 2.006 0.071
O 6.775 9.463 8.495


(8)
9
Lattice="-1.539 3.251 4.150 1.539 -3.251 4.150 1.539 3.251 -4.150" Properties=species:S:1:pos:R:3 comment="NdCr2B6, PBEsol geometry, DFT meta-GGA SCAN" dft_energy_ev_per_atom=-14.43 space_group="No. 71" magnetic_moment_mub_per_atom=0.00 ef_ev_per_atom=-0.552 pbc="T T T"
Nd 0.000 0.000 0.000
Cr 1.539 0.000 2.875
Cr 0.000 3.251 1.275
B 1.539 1.723 -1.642
B 1.539 2.351 0.000
B 1.539 1.723 1.642
B 0.000 1.529 2.508
B 0.000 0.901 4.150
B 0.000 1.529 5.792